A plane-wave DFT calculation with PBE was carried out for a relaxed KPdSeS2 crystal.

Results
calculated density = 3.231 g/cm3
D(E_F) = 11.82 states/eV/cell
raw formation energy = 7.3 eV/f.u.
total moment = 0.01 Bohr magnetons per cell

Cell: 5.446 5.446 5.002 Å, 90.00 90.00 90.00°
Element x y z (fractional)
K1 0.000 0.000 0.000
Pd1 0.000 0.000 0.500
Se1 0.500 0.500 0.500
S1 0.500 0.000 0.000
S2 0.000 0.500 0.000

=====

A plane-wave DFT calculation with PBE was carried out for a relaxed K2SiPdS4 crystal.

Results
calculated density = 2.454 g/cm3
D(E_F) = 0.61 states/eV/cell
raw formation energy = -6.2 eV/f.u.
total moment = 0.00 Bohr magnetons per cell

Cell: 6.458 7.803 10.565 Å, 82.73 72.20 65.55°
Element x y z (fractional)
S1 0.538 0.303 0.575
Si1 0.250 0.500 0.500
S2 0.888 0.697 0.575
K1 0.169 0.000 0.661
S3 0.335 0.803 0.075
Si2 0.500 0.000 0.000
S4 0.415 0.697 0.425
Pd1 0.750 0.500 0.500
Pd2 0.000 0.000 0.000
S5 0.159 0.303 0.425
S6 0.591 0.197 0.075
K2 0.919 0.500 0.161
K3 0.581 0.500 0.839
S7 0.212 0.197 0.925
S8 0.862 0.803 0.925
K4 0.831 0.000 0.339

=====

A plane-wave DFT calculation with PBE was carried out for a relaxed KThPdS3 crystal.

Results
calculated density = 4.793 g/cm3
D(E_F) = 3.16 states/eV/cell
raw formation energy = -8.3 eV/f.u.
total moment = 0.00 Bohr magnetons per cell

Cell: 4.177 8.737 9.404 Å, 106.96 90.00 90.00°
Element x y z (fractional)
S1 0.750 0.883 0.135
K1 0.750 0.800 0.766
S2 0.250 0.117 0.865
Pd1 0.250 0.097 0.566
S3 0.250 0.537 0.849
K2 0.250 0.200 0.234
S4 0.750 0.206 0.526
S5 0.250 0.794 0.474
Pd2 0.750 0.903 0.434
Th1 0.250 0.690 0.163
S6 0.750 0.463 0.151
Th2 0.750 0.310 0.837

=====

A plane-wave DFT calculation with PBE was carried out for a relaxed K4Th3PdS8 crystal.

Results
calculated density = 4.579 g/cm3
D(E_F) = 6.40 states/eV/cell
raw formation energy = -24.2 eV/f.u.
total moment = 0.01 Bohr magnetons per cell

Cell: 8.256 8.789 8.341 Å, 118.31 119.66 90.00°
Element x y z (fractional)
S1 0.752 0.291 0.505
S2 0.264 0.288 0.527
K1 0.000 0.000 0.500
S3 0.237 0.700 0.959
K2 0.000 0.000 0.000
Pd1 0.000 0.500 0.000
K3 0.500 0.000 0.500
S4 0.248 0.709 0.495
Th1 0.000 0.500 0.500
Th2 0.500 0.500 0.000
S5 0.722 0.700 0.959
S6 0.736 0.712 0.473
Th3 0.500 0.500 0.500
K4 0.500 0.000 0.000
S7 0.763 0.300 0.041
S8 0.278 0.300 0.041

=====

A plane-wave DFT calculation with PBE was carried out for a relaxed KU3Pd2S6 crystal.

Results
calculated density = 6.105 g/cm3
D(E_F) = 9.70 states/eV/cell
raw formation energy = -13.7 eV/f.u.
total moment = 7.00 Bohr magnetons per cell

Cell: 4.049 8.647 9.962 Å, 112.18 101.72 90.00°
Element x y z (fractional)
S1 0.676 0.064 0.352
S2 0.351 0.394 0.702
U1 0.168 0.834 0.336
S3 0.324 0.936 0.648
U2 0.832 0.166 0.664
Pd1 0.221 0.220 0.442
S4 0.649 0.606 0.298
K1 0.500 0.000 0.000
U3 0.500 0.500 0.000
S5 0.016 0.725 0.033
Pd2 0.779 0.780 0.558
S6 0.984 0.275 0.967

=====

A plane-wave DFT calculation with PBE was carried out for a relaxed K2UPdS4 crystal.

Results
calculated density = 4.229 g/cm3
D(E_F) = 7.18 states/eV/cell
raw formation energy = -7.2 eV/f.u.
total moment = 2.00 Bohr magnetons per cell

Cell: 6.557 6.557 6.557 Å, 105.80 111.34 111.34°
Element x y z (fractional)
S1 0.434 0.833 0.736
Pd1 0.000 0.500 0.500
S2 0.566 0.302 0.399
U1 0.500 0.250 0.750
S3 0.903 0.601 0.167
K1 0.000 0.000 0.000
K2 0.500 0.750 0.250
S4 0.097 0.264 0.698

=====

A plane-wave DFT calculation with PBE was carried out for a relaxed KUPdS2 crystal.

Results
calculated density = 5.534 g/cm3
D(E_F) = 11.30 states/eV/cell
raw formation energy = -4.8 eV/f.u.
total moment = 5.90 Bohr magnetons per cell

Cell: 4.921 7.699 7.256 Å, 102.25 90.00 90.00°
Element x y z (fractional)
K1 0.189 0.500 0.750
S1 0.304 0.245 0.050
S2 0.696 0.755 0.950
Pd1 0.000 0.000 0.000
U1 0.510 0.000 0.750
S3 0.304 0.755 0.450
Pd2 0.000 0.000 0.500
U2 0.490 0.000 0.250
S4 0.696 0.245 0.550
K2 0.811 0.500 0.250

=====

A plane-wave DFT calculation with PBE was carried out for a relaxed KU2Pd2S4 crystal.

Results
calculated density = 6.790 g/cm3
D(E_F) = 3.99 states/eV/cell
raw formation energy = -8.7 eV/f.u.
total moment = 0.63 Bohr magnetons per cell

Cell: 3.685 8.558 8.929 Å, 129.27 90.00 102.43°
Element x y z (fractional)
S1 0.507 0.015 0.312
S2 0.493 0.985 0.688
Pd1 0.320 0.641 0.023
U1 0.904 0.809 0.380
S3 0.248 0.495 0.235
Pd2 0.680 0.359 0.977
U2 0.096 0.191 0.620
K1 0.000 0.000 0.000
S4 0.752 0.505 0.765

=====

A plane-wave DFT calculation with PBE was carried out for a relaxed K2UPd2S4 crystal.

Results
calculated density = 5.293 g/cm3
D(E_F) = 3.30 states/eV/cell
raw formation energy = -9.5 eV/f.u.
total moment = 0.77 Bohr magnetons per cell

Cell: 3.968 7.616 7.517 Å, 109.01 105.30 90.00°
Element x y z (fractional)
S1 0.189 0.185 0.379
S2 0.513 0.768 0.026
S3 0.811 0.815 0.621
K1 0.135 0.573 0.271
S4 0.487 0.232 0.974
K2 0.865 0.427 0.729
Pd1 0.681 0.003 0.362
Pd2 0.319 0.997 0.638
U1 0.000 0.000 0.000

=====

A plane-wave DFT calculation with PBE was carried out for a relaxed K2UPdS5 crystal.

Results
calculated density = 3.973 g/cm3
D(E_F) = 11.22 states/eV/cell
raw formation energy = -8.5 eV/f.u.
total moment = 1.07 Bohr magnetons per cell

Cell: 3.982 9.280 13.503 Å, 90.00 90.00 102.39°
Element x y z (fractional)
Pd1 0.442 0.884 0.444
K1 0.880 0.760 0.824
U1 0.190 0.380 0.019
S1 0.686 0.371 0.891
S2 0.050 0.101 0.046
S3 0.324 0.649 0.997
S4 0.301 0.602 0.646
U2 0.810 0.620 0.519
K2 0.120 0.240 0.324
Pd2 0.558 0.116 0.944
K3 0.881 0.762 0.170
S5 0.485 0.969 0.286
S6 0.515 0.031 0.786
S7 0.699 0.398 0.146
K4 0.119 0.238 0.670
S8 0.314 0.629 0.391
S9 0.950 0.899 0.546
S10 0.676 0.351 0.497

=====

A plane-wave DFT calculation with PBE was carried out for a relaxed KU2Pd2S6 crystal.

Results
calculated density = 5.686 g/cm3
D(E_F) = 8.35 states/eV/cell
raw formation energy = -11.0 eV/f.u.
total moment = 0.99 Bohr magnetons per cell

Cell: 6.990 7.075 7.907 Å, 122.54 89.95 60.83°
Element x y z (fractional)
K1 0.500 0.000 0.500
S1 0.201 0.805 0.545
S2 0.416 0.802 0.070
Pd1 0.777 0.239 0.180
S3 0.799 0.195 0.455
U1 0.836 0.329 0.830
S4 0.971 0.431 0.160
U2 0.164 0.671 0.170
S5 0.029 0.569 0.840
S6 0.584 0.198 0.930
Pd2 0.223 0.761 0.820

=====

A plane-wave DFT calculation with PBE was carried out for a relaxed K2U2PdS6 crystal.

Results
calculated density = 4.702 g/cm3
D(E_F) = 12.28 states/eV/cell
raw formation energy = -12.9 eV/f.u.
total moment = 1.94 Bohr magnetons per cell

Cell: 6.921 6.921 7.803 Å, 96.91 96.91 123.55°
Element x y z (fractional)
S1 0.053 0.426 0.700
Pd1 0.000 0.000 0.500
S2 0.574 0.947 0.300
U1 0.661 0.339 0.500
S3 0.947 0.574 0.300
U2 0.339 0.661 0.500
S4 0.733 0.733 0.681
S5 0.267 0.267 0.319
K1 0.848 0.152 0.000
S6 0.426 0.053 0.700
K2 0.152 0.848 0.000

=====

A plane-wave DFT calculation with PBE was carried out for a relaxed K2UPd2S6 crystal.

Results
calculated density = 4.560 g/cm3
D(E_F) = 5.90 states/eV/cell
raw formation energy = -9.5 eV/f.u.
total moment = 0.00 Bohr magnetons per cell

Cell: 6.271 6.271 8.022 Å, 97.53 97.53 120.31°
Element x y z (fractional)
K1 0.165 0.835 0.000
S1 0.278 0.278 0.312
K2 0.835 0.165 0.000
S2 0.722 0.722 0.688
S3 0.403 0.064 0.690
Pd1 0.332 0.668 0.500
Pd2 0.668 0.332 0.500
S4 0.064 0.403 0.690
S5 0.936 0.597 0.310
S6 0.597 0.936 0.310
U1 0.000 0.000 0.500

=====

A plane-wave DFT calculation with PBE was carried out for a relaxed K2UPd3S6 crystal.

Results
calculated density = 4.663 g/cm3
D(E_F) = 12.65 states/eV/cell
raw formation energy = -11.2 eV/f.u.
total moment = 3.95 Bohr magnetons per cell

Cell: 11.060 9.715 8.691 Å, 73.63 57.44 48.93°
Element x y z (fractional)
U1 0.168 0.168 0.832
K1 0.702 0.298 0.702
Pd1 0.496 0.822 0.504
S1 0.176 0.030 0.598
S2 0.598 0.197 0.176
S3 0.824 0.970 0.402
Pd2 0.504 0.178 0.496
K2 0.298 0.702 0.298
S4 0.197 0.598 0.030
S5 0.030 0.176 0.197
K3 0.250 0.250 0.250
Pd3 0.173 0.827 0.827
K4 0.750 0.750 0.750
Pd4 0.822 0.496 0.178
S6 0.402 0.803 0.824
S7 0.803 0.402 0.970
Pd5 0.178 0.504 0.822
S8 0.816 0.591 0.409
S9 0.409 0.184 0.816
S10 0.970 0.824 0.803
Pd6 0.827 0.173 0.173
U2 0.832 0.832 0.168
S11 0.184 0.409 0.591
S12 0.591 0.816 0.184

=====

A plane-wave DFT calculation with PBE was carried out for a relaxed K3U2PdS6 crystal.

Results
calculated density = 4.896 g/cm3
D(E_F) = 13.01 states/eV/cell
raw formation energy = -14.4 eV/f.u.
total moment = 2.96 Bohr magnetons per cell

Cell: 6.934 6.934 7.678 Å, 98.11 98.11 121.17°
Element x y z (fractional)
U1 0.334 0.666 0.000
Pd1 0.000 0.000 0.000
K1 0.843 0.157 0.500
S1 0.065 0.423 0.205
K2 0.157 0.843 0.500
S2 0.274 0.274 0.807
S3 0.423 0.065 0.205
K3 0.500 0.500 0.500
S4 0.726 0.726 0.193
S5 0.935 0.577 0.795
U2 0.666 0.334 0.000
S6 0.577 0.935 0.795

=====

A plane-wave DFT calculation with PBE was carried out for a relaxed KU2PdS5 crystal.

Results
calculated density = 6.554 g/cm3
D(E_F) = 16.24 states/eV/cell
raw formation energy = -10.8 eV/f.u.
total moment = 6.01 Bohr magnetons per cell

Cell: 7.519 7.519 8.796 Å, 115.30 115.30 90.00°
Element x y z (fractional)
S1 0.473 0.266 0.238
K1 0.750 0.750 0.500
S2 0.766 0.973 0.238
Pd1 0.250 0.750 0.500
U1 0.660 0.160 0.000
U2 0.160 0.340 0.000
U3 0.840 0.660 0.000
S3 0.266 0.766 0.238
Pd2 0.750 0.250 0.500
S4 0.000 0.000 0.000
S5 0.500 0.500 0.000
S6 0.973 0.473 0.238
S7 0.027 0.527 0.762
U4 0.340 0.840 0.000
S8 0.734 0.234 0.762
S9 0.234 0.027 0.762
K2 0.250 0.250 0.500
S10 0.527 0.734 0.762

=====

A plane-wave DFT calculation with PBE was carried out for a relaxed K3Zr3PdS8 crystal.

Results
calculated density = 3.434 g/cm3
D(E_F) = 4.68 states/eV/cell
raw formation energy = -19.8 eV/f.u.
total moment = 0.00 Bohr magnetons per cell

Cell: 7.674 7.261 8.527 Å, 115.23 90.89 118.18°
Element x y z (fractional)
S1 0.737 0.468 0.699
Zr1 0.500 0.000 0.500
K1 0.500 0.500 0.000
S2 0.341 0.057 0.273
K2 0.000 0.500 0.000
Zr2 0.000 0.500 0.500
S3 0.783 0.035 0.321
Pd1 0.000 0.000 0.500
Zr3 0.500 0.500 0.500
S4 0.263 0.532 0.301
S5 0.783 0.569 0.321
K3 0.000 0.000 0.000
S6 0.659 0.943 0.727
S7 0.217 0.965 0.679
S8 0.217 0.431 0.679

=====

A plane-wave DFT calculation with PBE was carried out for a relaxed KSbPd4 crystal.

Results
calculated density = 7.181 g/cm3
D(E_F) = 6.63 states/eV/cell
raw formation energy = -1.0 eV/f.u.
total moment = 0.00 Bohr magnetons per cell

Cell: 4.117 8.160 8.075 Å, 90.00 90.00 90.00°
Element x y z (fractional)
Pd1 0.500 0.762 0.048
Pd2 0.500 0.049 0.250
Pd3 0.500 0.951 0.750
Pd4 0.500 0.762 0.452
Pd5 0.500 0.238 0.952
Pd6 0.500 0.238 0.548
Sb1 0.000 0.797 0.250
K1 0.000 0.625 0.750
Pd7 0.000 0.000 0.500
Sb2 0.000 0.203 0.750
Pd8 0.000 0.000 0.000
K2 0.000 0.375 0.250

=====

A plane-wave DFT calculation with PBE was carried out for a relaxed KSbPd3 crystal.

Results
calculated density = 6.578 g/cm3
D(E_F) = 3.17 states/eV/cell
raw formation energy = 5.8 eV/f.u.
total moment = 0.00 Bohr magnetons per cell
energy relative to the lowest polymorph listed for this composition = 1248 meV/atom

Cell: 4.949 4.949 4.949 Å, 90.00 90.00 90.00°
Element x y z (fractional)
Pd1 0.000 0.000 0.500
Pd2 0.500 0.000 0.000
K1 0.000 0.000 0.000
Sb1 0.500 0.500 0.500
Pd3 0.000 0.500 0.000

=====

A plane-wave DFT calculation with PBE was carried out for a relaxed K3Sb3Pd2 crystal.

Results
calculated density = 4.411 g/cm3
D(E_F) = 6.98 states/eV/cell
raw formation energy = -3.3 eV/f.u.
total moment = 0.00 Bohr magnetons per cell

Cell: 4.340 7.155 17.691 Å, 90.00 90.00 107.66°
Element x y z (fractional)
Sb1 0.784 0.567 0.250
K1 0.356 0.712 0.556
Sb2 0.216 0.433 0.750
K2 0.356 0.712 0.944
K3 0.532 0.064 0.250
Pd1 0.328 0.657 0.335
K4 0.644 0.288 0.056
K5 0.468 0.936 0.750
Sb3 0.089 0.179 0.897
K6 0.644 0.288 0.444
Sb4 0.089 0.179 0.603
Pd2 0.328 0.657 0.165
Pd3 0.672 0.343 0.835
Pd4 0.672 0.343 0.665
Sb5 0.911 0.821 0.103
Sb6 0.911 0.821 0.397